Material: Li4GaPt
Method: DFT, PBE
State: relaxed

The space group is C2/m (No. 12) and the conventional cell measures 6.666, 7.712 and 4.376 Å, with angles of 90.00, 130.28 and 90.00 degrees. The inequivalent atoms are Li at (0.245, 0.167, 0.245), Ga at (0.000, 0.500, 0.000) and Pt at (0.000, 0.000, 0.500).

For the energy of formation from the pure elements, the calculation gives -0.458 eV per atom. As for the final energy: -3.245 eV/atom. Its energy above the most stable polymorph in this dataset is 0 meV/atom. As for the magnetic moment: 0.000 μB per cell.

Material: Nd2MgGaPt6
Method: DFT, PBE
State: relaxed

The space group is C2/m (No. 12) and the conventional cell measures 9.815, 5.667 and 8.805 Å, with angles of 90.00, 111.73 and 90.00 degrees. The inequivalent atoms are Nd at (0.203, 0.000, 0.110), Mg at (0.000, 0.000, 0.500), Ga at (0.000, 0.500, 0.000), Pt at (0.008, 0.246, 0.769) and Pt at (0.246, 0.500, 0.231).

For the energy of formation from the pure elements, the calculation gives -0.773 eV per atom. As for the final energy: -5.814 eV/atom. As for the magnetic moment: 0.000 μB per cell.

Material: LaTlPb2O4
Method: DFT, PBE
State: relaxed

The space group is P4/mmm (No. 123) and the conventional cell measures 4.131, 4.131 and 9.414 Å, with angles of 90.00, 90.00 and 90.00 degrees. The inequivalent atoms are La at (0.000, 0.000, 0.000), Tl at (0.000, 0.000, 0.500), Pb at (0.500, 0.500, 0.264) and O at (0.000, 0.500, 0.157).

As for the final energy: -5.943 eV/atom. As for the magnetic moment: 0.000 μB per cell. The value obtained for the formation energy without anion corrections is -156.81 kJ per mole of atoms.

Material: Zr7Pd2Rh2
Method: DFT, PBE
State: relaxed

The space group is Cmmm (No. 65) and the conventional cell measures 7.272, 9.913 and 6.732 Å, with angles of 90.00, 90.00 and 90.00 degrees. The inequivalent atoms are Zr at (0.000, 0.000, 0.000), Zr at (0.000, 0.500, 0.264), Zr at (0.250, 0.250, 0.270), Pd at (0.182, 0.000, 0.500) and Rh at (0.000, 0.282, 0.000).

For the energy of formation from the pure elements, the calculation gives -0.168 eV per atom. As for the final energy: -7.888 eV/atom. As for the magnetic moment: 0.000 μB per cell.

Material: Mg2Mn2Ni
Method: DFT, PBE
State: relaxed

The space group is P4/mbm (No. 127) and the conventional cell measures 5.987, 5.987 and 4.334 Å, with angles of 90.00, 90.00 and 90.00 degrees. The inequivalent atoms are Mg at (0.178, 0.322, 0.000), Mn at (0.126, 0.626, 0.500) and Ni at (0.000, 0.000, 0.500).

For the energy of formation from the pure elements, the calculation gives 0.308 eV per atom. As for the final energy: -5.154 eV/atom. As for the magnetic moment: 9.432 μB per cell.

Material: BPbIO2
Method: DFT, PBE
State: relaxed

The space group is P4/mmm (No. 123) and the conventional cell measures 4.252, 4.252 and 5.940 Å, with angles of 90.00, 90.00 and 90.00 degrees. The inequivalent atoms are B at (0.000, 0.000, 0.000), Pb at (0.500, 0.500, 0.500), I at (0.500, 0.500, 0.000) and O at (0.000, 0.500, 0.500).

As for the final energy: -3.650 eV/atom. Its energy above the most stable polymorph in this dataset is 2129 meV/atom. As for the magnetic moment: 0.214 μB per cell. The value obtained for the formation energy without anion corrections is 69.48 kJ per mole of atoms.

Material: BeCr2Te
Method: DFT, PBE
State: relaxed

The space group is P4/mmm (No. 123) and the conventional cell measures 3.159, 3.159 and 5.515 Å, with angles of 90.00, 90.00 and 90.00 degrees. The inequivalent atoms are Be at (0.000, 0.000, 0.000), Cr at (0.500, 0.500, 0.194) and Te at (0.000, 0.000, 0.500).

As for the final energy: -6.060 eV/atom. Its energy above the most stable polymorph in this dataset is 142 meV/atom. As for the magnetic moment: 0.001 μB per cell. The value obtained for the formation energy without anion corrections is 45.22 kJ per mole of atoms.

Material: YCoP2Se
Method: DFT, PBE
State: relaxed

The space group is P4/mmm (No. 123) and the conventional cell measures 4.127, 4.127 and 5.969 Å, with angles of 90.00, 90.00 and 90.00 degrees. The inequivalent atoms are Y at (0.000, 0.000, 0.000), Co at (0.000, 0.000, 0.500), P at (0.000, 0.500, 0.500) and Se at (0.500, 0.500, 0.000).

As for the final energy: -6.090 eV/atom. As for the magnetic moment: 0.000 μB per cell. The value obtained for the formation energy without anion corrections is -49.67 kJ per mole of atoms.